1.
! NaInAu2 (PBE, relaxed); values from VASP
&SYSTEM
  ibrav = 0, nat = 4, ntyp = 3
/
ATOMIC_SPECIES
Na 22.99 Na.upf
Au 196.97 Au.upf
In 114.82 In.upf
CELL_PARAMETERS angstrom
3.748 0.000 0.000
0.000 4.665 0.000
0.000 0.000 4.665
ATOMIC_POSITIONS angstrom
Na 1.874 0.000 0.000
Au 0.000 2.333 0.000
Au 0.000 0.000 2.333
In 1.874 2.333 2.333
! - DFT formation energy (eV per atom) = -0.2549
! - final energy (eV per atom) = -2.9080
! - space-group type = No. 123



2.
! AcSnPd2Pb2 (PBE, relaxed); values from VASP
&SYSTEM
  ibrav = 0, nat = 6, ntyp = 4
/
ATOMIC_SPECIES
Pd 106.42 Pd.upf
Pb 207.20 Pb.upf
Sn 118.71 Sn.upf
Ac 227.00 Ac.upf
CELL_PARAMETERS angstrom
5.443 0.000 0.000
0.000 5.443 0.000
-2.722 -2.722 5.889
ATOMIC_POSITIONS angstrom
Pd 0.000 0.000 2.638
Pd 2.722 2.722 3.251
Pb 2.722 0.000 2.945
Pb 0.000 2.722 2.945
Sn 0.000 0.000 0.000
Ac 2.722 2.722 0.000
! - DFT formation energy (eV per atom) = -0.2396
! - final energy (eV per atom) = -4.5586
! - space-group type = No. 139



3.
! Sm5IrSe4 (PBE, relaxed); values from VASP
&SYSTEM
  ibrav = 0, nat = 10, ntyp = 3
/
ATOMIC_SPECIES
Sm 150.36 Sm.upf
Se 78.96 Se.upf
Ir 192.22 Ir.upf
CELL_PARAMETERS angstrom
4.127 0.000 -0.582
-0.082 4.126 -0.582
0.027 0.028 15.124
ATOMIC_POSITIONS angstrom
Sm 3.692 3.766 11.265
Sm 0.380 0.388 2.696
Sm 2.022 2.063 -0.582
Sm 2.862 2.920 5.377
Sm 1.210 1.234 8.584
Se 1.625 1.658 11.532
Se 3.273 3.339 8.292
Se 0.799 0.815 5.669
Se 2.447 2.496 2.429
Ir 0.000 0.000 0.000
! - final energy (eV per atom) = -6.2196
! - ΔE_f (raw) (meV per atom) = -1580
! - space-group type = No. 139



4.
! SrBe2SiAs4 (PBE, relaxed); values from VASP
&SYSTEM
  ibrav = 0, nat = 8, ntyp = 4
/
ATOMIC_SPECIES
Sr 87.62 Sr.upf
As 74.92 As.upf
Be 9.01 Be.upf
Si 28.09 Si.upf
CELL_PARAMETERS angstrom
-4.979 0.703 -2.882
-5.597 -1.931 3.371
-1.213 6.338 -2.185
ATOMIC_POSITIONS angstrom
Sr 0.000 0.000 0.000
As -7.752 0.724 -1.633
As -5.438 1.744 1.712
As -7.067 4.815 -1.817
As -3.320 2.938 -1.654
Be -6.991 0.487 0.542
Be -4.798 4.624 -2.238
Si -3.405 2.203 0.593
! - final energy (eV per atom) = -4.2922
! - ΔE_f (raw) (meV per atom) = -148
! - space-group type = No. 121



5.
! CaZn2In (PBE, relaxed); values from VASP
&SYSTEM
  ibrav = 0, nat = 8, ntyp = 3
/
ATOMIC_SPECIES
Zn 65.41 Zn.upf
In 114.82 In.upf
Ca 40.08 Ca.upf
CELL_PARAMETERS angstrom
4.377 -0.005 0.000
-2.189 6.036 0.000
0.000 0.000 7.447
ATOMIC_POSITIONS angstrom
Zn 2.188 3.091 4.354
Zn 0.000 2.939 3.093
Zn 2.188 3.091 6.816
Zn 0.000 2.939 0.631
In 2.191 4.551 1.862
In -0.003 1.480 5.585
Ca 2.190 0.955 1.862
Ca -0.002 5.076 5.585
! - DFT formation energy (eV per atom) = -0.1643
! - final energy (eV per atom) = -1.9862
! - space-group type = No. 11



6.
! LiFeW4 (PBE, relaxed); values from VASP
&SYSTEM
  ibrav = 0, nat = 6, ntyp = 3
/
ATOMIC_SPECIES
W 183.84 W.upf
Fe 55.84 Fe.upf
Li 6.94 Li.upf
CELL_PARAMETERS angstrom
0.000 3.704 3.704
3.704 0.000 3.704
3.704 3.704 0.000
ATOMIC_POSITIONS angstrom
W 4.637 2.771 4.637
W 2.771 2.771 2.771
W 2.771 4.637 4.637
W 4.637 4.637 2.771
Fe 5.556 5.556 5.556
Li 0.000 0.000 0.000
! - DFT formation energy (eV per atom) = 0.7333
! - final energy (eV per atom) = -9.6315
! - space-group type = No. 216



7.
! Ac8Tl2Ge (PBE, relaxed); values from VASP
&SYSTEM
  ibrav = 0, nat = 11, ntyp = 3
/
ATOMIC_SPECIES
Ac 227.00 Ac.upf
Tl 204.38 Tl.upf
Ge 72.64 Ge.upf
CELL_PARAMETERS angstrom
-2.840 3.672 3.150
-0.276 -5.003 5.584
10.294 3.319 0.415
ATOMIC_POSITIONS angstrom
Ac 6.166 3.490 1.490
Ac 3.511 1.393 6.538
Ac 1.012 -1.501 7.658
Ac 0.130 -3.687 4.415
Ac 0.043 0.503 4.449
Ac 7.135 1.486 4.700
Ac 7.048 5.675 4.733
Ac 3.667 0.596 2.611
Tl 4.111 3.855 4.208
Tl 3.067 -1.866 4.940
Ge -1.420 1.836 1.575
! - DFT formation energy (eV per atom) = -0.2168
! - final energy (eV per atom) = -4.0547
! - space-group type = No. 12



8.
! Os2BrCl (PBE, relaxed); values from VASP
&SYSTEM
  ibrav = 0, nat = 4, ntyp = 3
/
ATOMIC_SPECIES
Br 79.90 Br.upf
Os 190.23 Os.upf
Cl 35.45 Cl.upf
CELL_PARAMETERS angstrom
-1.758 2.084 -4.257
-2.869 -3.755 2.478
-1.999 1.351 1.747
ATOMIC_POSITIONS angstrom
Br -2.434 -1.202 2.113
Os -1.878 1.718 -1.255
Os 0.000 0.000 0.000
Cl -2.313 -0.835 -0.890
! - final energy (eV per atom) = -5.0884
! - ΔE_f (raw) (meV per atom) = 1406
! - space-group type = No. 12



9.
! SrCa2Nd (PBE, relaxed); values from VASP
&SYSTEM
  ibrav = 0, nat = 4, ntyp = 3
/
ATOMIC_SPECIES
Sr 87.62 Sr.upf
Nd 144.24 Nd.upf
Ca 40.08 Ca.upf
CELL_PARAMETERS angstrom
-2.930 3.109 4.474
1.792 -0.629 5.887
2.839 4.678 2.885
ATOMIC_POSITIONS angstrom
Sr 0.850 3.579 6.623
Nd 0.000 0.000 0.000
Ca 1.275 5.368 9.935
Ca 0.425 1.789 3.312
! - DFT formation energy (eV per atom) = 0.1085
! - final energy (eV per atom) = -2.5047
! - space-group type = No. 225



10.
! Ca2RuO4 (PBE, relaxed); values from VASP
&SYSTEM
  ibrav = 0, nat = 28, ntyp = 3
/
ATOMIC_SPECIES
Ca 40.08 Ca.upf
Ru 101.07 Ru.upf
O 16.00 O.upf
CELL_PARAMETERS angstrom
5.435 0.000 0.000
0.000 5.580 0.000
0.000 0.000 12.009
ATOMIC_POSITIONS angstrom
Ca 0.053 2.475 10.202
Ca 2.770 0.314 1.807
Ca 2.665 5.265 10.202
Ca 5.383 5.265 7.812
Ca 5.383 3.104 1.807
Ca 0.053 0.314 4.197
Ca 2.665 3.104 4.197
Ca 2.770 2.475 7.812
Ru 2.718 0.000 6.005
Ru 0.000 2.790 6.005
Ru 0.000 0.000 0.000
Ru 2.718 2.790 0.000
O 0.390 0.134 10.007
O 3.107 0.134 8.007
O 4.362 4.457 5.664
O 1.644 3.912 6.345
O 2.328 5.446 4.002
O 3.107 2.656 2.002
O 3.791 1.668 5.664
O 1.644 4.457 0.340
O 5.046 5.446 2.002
O 1.074 1.122 6.345
O 4.362 3.912 11.669
O 1.074 1.668 0.340
O 3.791 1.122 11.669
O 0.390 2.656 4.002
O 5.046 2.923 8.007
O 2.328 2.923 10.007
! - final energy (eV per atom) = -6.8494
! - ΔE_f (raw) (meV per atom) = -2119
! - space-group type = No. 61



11.
! CsV2Cu2 (PBE, relaxed); values from VASP
&SYSTEM
  ibrav = 0, nat = 10, ntyp = 3
/
ATOMIC_SPECIES
Cs 132.91 Cs.upf
Cu 63.55 Cu.upf
V 50.94 V.upf
CELL_PARAMETERS angstrom
8.229 0.000 0.000
0.000 8.229 0.000
0.000 0.000 3.060
ATOMIC_POSITIONS angstrom
Cs 4.115 4.115 0.000
Cs 0.000 0.000 0.000
Cu 2.572 6.687 0.000
Cu 1.542 2.572 0.000
Cu 6.687 5.657 0.000
Cu 5.657 1.542 0.000
V 4.772 7.572 1.530
V 7.572 3.458 1.530
V 3.458 0.657 1.530
V 0.657 4.772 1.530
! - DFT formation energy (eV per atom) = 0.9428
! - final energy (eV per atom) = -4.5139
! - space-group type = No. 127



12.
! Ti2BiO (PBE, relaxed); values from VASP
&SYSTEM
  ibrav = 0, nat = 8, ntyp = 3
/
ATOMIC_SPECIES
Bi 208.98 Bi.upf
O 16.00 O.upf
Ti 47.87 Ti.upf
CELL_PARAMETERS angstrom
5.131 0.000 0.000
0.000 5.131 0.000
2.565 2.565 5.970
ATOMIC_POSITIONS angstrom
Bi 0.000 0.000 0.000
Bi 5.131 2.565 2.985
O 2.565 5.131 2.985
O 2.565 2.565 0.000
Ti 3.848 4.907 4.478
Ti 2.789 1.283 1.493
Ti 6.414 5.354 4.478
Ti 2.342 3.848 1.493
! - final energy (eV per atom) = -7.2052
! - ΔE_f (raw) (meV per atom) = -1048
! - space-group type = No. 122



13.
! RePbN2F (PBE, relaxed); values from VASP
&SYSTEM
  ibrav = 0, nat = 5, ntyp = 4
/
ATOMIC_SPECIES
Re 186.21 Re.upf
N 14.01 N.upf
F 19.00 F.upf
Pb 207.20 Pb.upf
CELL_PARAMETERS angstrom
4.351 0.000 0.000
0.000 4.351 0.000
0.000 0.000 4.232
ATOMIC_POSITIONS angstrom
Re 2.176 2.176 2.116
N 0.000 2.176 0.000
N 2.176 0.000 0.000
F 0.000 0.000 2.116
Pb 0.000 0.000 0.000
! - final energy (eV per atom) = -5.1963
! - ΔE_f (raw) (meV per atom) = 1739
! - space-group type = No. 123



14.
! Tm2Ni15Ru2 (PBE, relaxed); values from VASP
&SYSTEM
  ibrav = 0, nat = 19, ntyp = 3
/
ATOMIC_SPECIES
Ni 58.69 Ni.upf
Ru 101.07 Ru.upf
Tm 168.93 Tm.upf
CELL_PARAMETERS angstrom
6.291 0.010 0.008
0.826 6.237 0.008
0.826 0.725 6.194
ATOMIC_POSITIONS angstrom
Ni 3.146 0.005 0.004
Ni 0.413 0.362 3.097
Ni 0.826 2.394 4.321
Ni 4.636 0.226 1.882
Ni 2.481 0.508 4.321
Ni 3.146 5.505 2.143
Ni 4.636 1.895 0.008
Ni 0.826 4.567 1.882
Ni 4.796 1.466 4.068
Ni 2.481 4.351 0.008
Ni 4.796 4.209 0.989
Ni 5.867 2.406 2.143
Ni 3.146 2.761 5.223
Ni 2.075 4.565 4.068
Ni 0.413 3.118 0.004
Ru 7.175 6.297 5.611
Ru 0.767 0.673 0.600
Tm 2.731 2.397 2.136
Tm 5.212 4.574 4.076
! - DFT formation energy (eV per atom) = -0.1731
! - final energy (eV per atom) = -6.1844
! - space-group type = No. 166



15.
! InC2N (PBE, relaxed); values from VASP
&SYSTEM
  ibrav = 0, nat = 4, ntyp = 3
/
ATOMIC_SPECIES
C 12.01 C.upf
N 14.01 N.upf
In 114.82 In.upf
CELL_PARAMETERS angstrom
-3.068 -1.244 1.021
3.041 -1.125 1.873
-1.329 2.357 4.768
ATOMIC_POSITIONS angstrom
C -0.488 -0.462 5.679
C -3.395 -0.367 2.965
N -0.600 0.468 6.463
In -1.209 -1.040 2.825
! - final energy (eV per atom) = -6.8829
! - ΔE_f (raw) (meV per atom) = 495
! - space-group type = No. 1